# 1
Here is a relaxed ZrTl2Br8 crystal from Alexandria. Energies are from GGA-PBE.

a = 8.5161 Å, b = 8.5161 Å, c = 7.3680 Å
α = 105.59°, β = 105.59°, γ = 94.50°
Atoms (fractional coordinates):
1 Zr 0.0000 0.0000 0.0000
2 Tl 0.2961 0.2961 0.8193
3 Tl 0.7039 0.7039 0.1807
4 Br 0.0432 0.7414 0.1343
5 Br 0.1998 0.1998 0.3388
6 Br 0.2586 0.9568 0.8657
7 Br 0.4735 0.4735 0.2355
8 Br 0.5265 0.5265 0.7645
9 Br 0.7414 0.0432 0.1343
10 Br 0.8002 0.8002 0.6612
11 Br 0.9568 0.2586 0.8657

Output
formation energy from raw total energies: -0.86 eV per atom
electronic total energy: -3.285 eV per atom
magnetic moment: 0.000 Bohr magnetons per cell
density: 3.867 g/cm³

# 2
Here is a relaxed ZrTlBr2 crystal from Alexandria. Energies are from GGA-PBE.

a = 11.6779 Å, b = 3.4285 Å, c = 7.6510 Å
α = 90.00°, β = 116.38°, γ = 90.00°
Atoms (fractional coordinates):
1 Zr 0.0000 0.0000 0.0000
2 Zr 0.5000 0.5000 0.0000
3 Tl 0.2284 0.5000 0.9892
4 Tl 0.7284 0.0000 0.9892
5 Br 0.0408 0.5000 0.3005
6 Br 0.3891 0.0000 0.6919
7 Br 0.5408 0.0000 0.3005
8 Br 0.8891 0.5000 0.6919

Output
formation energy from raw total energies: -0.69 eV per atom
electronic total energy: -4.253 eV per atom
magnetic moment: 0.000 Bohr magnetons per cell
density: 5.511 g/cm³

# 3
Here is a relaxed ZrTlBr2 crystal from Alexandria. Energies are from GGA-PBE.

a = 3.4891 Å, b = 4.9099 Å, c = 5.9343 Å
α = 90.00°, β = 90.00°, γ = 90.00°
Atoms (fractional coordinates):
1 Zr 0.0000 0.0000 0.0000
2 Tl 0.5000 0.0000 0.5000
3 Br 0.0000 0.5000 0.5000
4 Br 0.5000 0.5000 0.0000

Output
formation energy from raw total energies: -0.22 eV per atom
electronic total energy: -3.787 eV per atom
magnetic moment: 0.000 Bohr magnetons per cell
density: 7.439 g/cm³

What did the third record say?
Here is a relaxed ZrTlBr2 crystal from Alexandria. Energies are from GGA-PBE.

a = 3.4891 Å, b = 4.9099 Å, c = 5.9343 Å
α = 90.00°, β = 90.00°, γ = 90.00°
Atoms (fractional coordinates):
1 Zr 0.0000 0.0000 0.0000
2 Tl 0.5000 0.0000 0.5000
3 Br 0.0000 0.5000 0.5000
4 Br 0.5000 0.5000 0.0000

Output
formation energy from raw total energies: -0.22 eV per atom
electronic total energy: -3.787 eV per atom
magnetic moment: 0.000 Bohr magnetons per cell
density: 7.439 g/cm³

density of number 2 (ZrTlBr2)? 5.511 g/cm³